Density functional theory data (PBEsol) for a relaxed structure of HgMo3.

abc: 2.754 2.754 9.133
angles: 90.00 90.00 108.77
Positions (direct):
Mo: 0.000 0.000 0.500
Mo: 0.500 0.500 0.732
Mo: 0.500 0.500 0.268
Hg: 0.000 0.000 0.000

Results
Total magnetization: 0.0 μB per cell
Space group: Cmmm (65)
Formation enthalpy at 0 K: 1.15 eV/f.u.
D(E_F): 2.44 states/eV/f.u.

---

Density functional theory data (PBEsol) for a relaxed structure of Cs2InAuCl6.

abc: 7.334 7.334 7.334
angles: 60.00 60.00 60.00
Positions (direct):
Cl: 0.754 0.754 0.246
Cl: 0.754 0.246 0.754
Cl: 0.246 0.246 0.754
Cl: 0.246 0.754 0.754
Cl: 0.246 0.754 0.246
Cl: 0.754 0.246 0.246
Au: 0.500 0.500 0.500
Cs: 0.750 0.750 0.750
Cs: 0.250 0.250 0.250
In: 0.000 0.000 0.000

Results
Total magnetization: 0.0 μB per cell
ΔE_f (raw): -1.259 eV/atom
Space group: Fm-3m (225)
D(E_F): 1.85 states/eV/f.u.

---

Density functional theory data (PBEsol) for a relaxed structure of KBaSi2H.

abc: 4.554 4.554 5.074
angles: 90.00 90.00 90.00
Positions (direct):
Si: 0.000 0.500 0.000
Si: 0.500 0.000 0.000
K: 0.000 0.000 0.500
H: 0.000 0.000 0.000
Ba: 0.500 0.500 0.500

Results
Total magnetization: 0.0 μB per cell
Space group: P4/mmm (123)
VASP energy: -16.67 eV per cell
D(E_F): 1.61 states/eV/f.u.

---

Density functional theory data (PBEsol) for a relaxed structure of TaAl2Tc.

abc: 2.769 2.769 8.696
angles: 90.00 90.00 110.08
Positions (direct):
Al: 0.000 0.000 0.014
Al: 0.500 0.500 0.749
Tc: 0.500 0.500 0.245
Ta: 0.000 0.000 0.491

Results
Total magnetization: 0.0 μB per cell
Space group: Cmm2 (35)
Formation enthalpy at 0 K: -0.21 eV/f.u.
D(E_F): 2.74 states/eV/f.u.

---

Density functional theory data (PBEsol) for a relaxed structure of CaAsSe2.

abc: 3.922 3.922 8.785
angles: 77.10 77.10 60.00
Positions (direct):
As: 0.500 0.500 0.500
Se: 0.110 0.110 0.671
Se: 0.890 0.890 0.329
Ca: 0.000 0.000 0.000

Results
Total magnetization: 0.0 μB per cell
ΔE_f (raw): -0.353 eV/atom
Space group: R-3m (166)
D(E_F): 1.10 states/eV/f.u.

---

Density functional theory data (PBEsol) for a relaxed structure of MgCd2H2.

abc: 4.696 5.552 5.552
angles: 90.00 90.00 90.00
Positions (direct):
H: 0.000 0.692 0.808
H: 0.000 0.192 0.692
H: 0.000 0.808 0.308
H: 0.000 0.308 0.192
Mg: 0.000 0.000 0.000
Mg: 0.000 0.500 0.500
Cd: 0.500 0.321 0.179
Cd: 0.500 0.821 0.321
Cd: 0.500 0.679 0.821
Cd: 0.500 0.179 0.679

Results
Total magnetization: 0.0 μB per cell
Space group: P4/mbm (127)
VASP energy: -20.72 eV per cell
D(E_F): 0.63 states/eV/f.u.

---

Density functional theory data (PBEsol) for a relaxed structure of La2CoHBr.

abc: 4.562 4.693 4.693
angles: 90.00 90.00 90.00
Positions (direct):
La: 0.000 0.500 0.000
La: 0.000 0.000 0.500
Br: 0.500 0.000 0.000
Co: 0.500 0.500 0.500
H: 0.000 0.000 0.000

Results
Total magnetization: 1.0 μB per cell
Space group: P4/mmm (123)
VASP energy: -23.97 eV per cell
D(E_F): 4.74 states/eV/f.u.

---

Density functional theory data (PBEsol) for a relaxed structure of BaTlRe2Rh.

abc: 5.044 5.093 5.093
angles: 90.00 90.00 90.00
Positions (direct):
Tl: 0.000 0.000 0.000
Re: 0.000 0.500 0.000
Re: 0.000 0.000 0.500
Rh: 0.500 0.000 0.000
Ba: 0.500 0.500 0.500

Results
Total magnetization: 5.5 μB per cell
Space group: P4/mmm (123)
Formation enthalpy at 0 K: 11.03 eV/f.u.
D(E_F): 6.90 states/eV/f.u.